1.
{"formula": "La3YTc", "functional": "SCAN", "state": "PBEsol geometry", "lattice": [[5.452, 0.000, 0.000], [0.000, 5.452, 0.000], [0.000, 0.000, 5.452]], "species": ["La", "La", "La", "Y", "Tc"], "fractional_positions": [[0.000, 0.000, 0.500], [0.000, 0.500, 0.000], [0.500, 0.000, 0.000], [0.500, 0.500, 0.500], [0.000, 0.000, 0.000]], "delta_e_f_ev_per_fu": 0.5, "crystal_system": "cubic", "sg": "Pm-3m, No. 221"}

***

2.
{"formula": "La4YTc", "functional": "SCAN", "state": "PBEsol geometry", "lattice": [[0.000, 4.392, 4.392], [4.392, 0.000, 4.392], [4.392, 4.392, 0.000]], "species": ["La", "La", "La", "La", "Y", "Tc"], "fractional_positions": [[0.377, 0.377, 0.377], [0.377, 0.377, 0.870], [0.377, 0.870, 0.377], [0.870, 0.377, 0.377], [0.000, 0.000, 0.000], [0.750, 0.750, 0.750]], "delta_e_f_ev_per_fu": 4.7, "crystal_system": "cubic", "sg": "F-43m, No. 216"}

***

3.
{"formula": "LaY2Tc", "functional": "SCAN", "state": "PBEsol geometry", "lattice": [[2.404, -2.413, 0.000], [2.404, 2.413, 0.000], [0.000, 0.000, 9.195]], "species": ["La", "Y", "Y", "Tc"], "fractional_positions": [[0.000, 0.000, 0.000], [0.500, 0.500, 0.322], [0.500, 0.500, 0.678], [0.000, 0.000, 0.500]], "delta_e_f_ev_per_fu": 0.0, "crystal_system": "orthorhombic", "sg": "Cmmm, No. 65"}

***

4.
{"formula": "LaYTc", "functional": "SCAN", "state": "PBEsol geometry", "lattice": [[4.717, 0.000, 0.000], [-2.359, 4.085, 0.000], [0.000, 0.000, 3.577]], "species": ["La", "Y", "Tc"], "fractional_positions": [[0.000, 0.000, 0.000], [0.667, 0.333, 0.544], [0.333, 0.667, 0.215]], "delta_e_f_ev_per_fu": 0.5, "crystal_system": "trigonal", "sg": "P3m1, No. 156"}

***

5.
{"formula": "LaZnTc3", "functional": "SCAN", "state": "PBEsol geometry", "lattice": [[4.672, 0.000, 0.000], [0.000, 4.672, 0.000], [0.000, 0.000, 4.672]], "species": ["La", "Zn", "Tc", "Tc", "Tc"], "fractional_positions": [[0.000, 0.000, 0.000], [0.500, 0.500, 0.500], [0.000, 0.000, 0.500], [0.000, 0.500, 0.000], [0.500, 0.000, 0.000]], "delta_e_f_ev_per_fu": 11.3, "crystal_system": "cubic", "sg": "Pm-3m, No. 221"}

***

6.
{"formula": "LaZr2Tc", "functional": "SCAN", "state": "PBEsol geometry", "lattice": [[3.289, 0.000, 0.000], [0.000, 3.289, 0.000], [0.000, 0.000, 8.187]], "species": ["La", "Zr", "Zr", "Tc"], "fractional_positions": [[0.000, 0.000, 0.000], [0.500, 0.500, 0.312], [0.500, 0.500, 0.688], [0.000, 0.000, 0.500]], "delta_e_f_ev_per_fu": -0.7, "crystal_system": "tetragonal", "sg": "P4/mmm, No. 123"}

***

7.
{"formula": "LaZr2Tc", "functional": "SCAN", "state": "PBEsol geometry", "lattice": [[5.551, -1.714, 0.000], [5.551, 1.714, 0.000], [-2.169, 0.000, 4.596]], "species": ["La", "Zr", "Zr", "Tc"], "fractional_positions": [[0.000, 0.000, 0.000], [0.574, 0.574, 0.573], [0.780, 0.780, 0.277], [0.272, 0.272, 0.717]], "delta_e_f_ev_per_fu": 0.0, "crystal_system": "monoclinic", "sg": "Cm, No. 8"}

***

8.
{"formula": "La2ZrTc", "functional": "SCAN", "state": "PBEsol geometry", "lattice": [[4.150, 0.000, 0.000], [0.000, 4.150, 0.000], [0.000, 0.000, 5.306]], "species": ["La", "La", "Zr", "Tc"], "fractional_positions": [[0.000, 0.500, 0.000], [0.500, 0.000, 0.000], [0.000, 0.000, 0.500], [0.500, 0.500, 0.500]], "delta_e_f_ev_per_fu": 1.6, "crystal_system": "tetragonal", "sg": "P4/mmm, No. 123"}

***

9.
{"formula": "LaZr2Tc", "functional": "SCAN", "state": "PBEsol geometry", "lattice": [[-2.416, 2.416, 3.466], [2.416, -2.416, 3.466], [2.416, 2.416, -3.466]], "species": ["La", "Zr", "Zr", "Tc"], "fractional_positions": [[0.000, 0.000, 0.000], [0.250, 0.750, 0.500], [0.750, 0.250, 0.500], [0.500, 0.500, 0.000]], "delta_e_f_ev_per_fu": 0.6, "crystal_system": "tetragonal", "sg": "I4/mmm, No. 139"}

***

10.
{"formula": "La4Te", "functional": "SCAN", "state": "PBEsol geometry", "lattice": [[-2.077, 2.077, 9.809], [2.077, -2.077, 9.809], [2.077, 2.077, -9.809]], "species": ["La", "La", "La", "La", "Te"], "fractional_positions": [[0.087, 0.087, 0.000], [0.250, 0.750, 0.500], [0.750, 0.250, 0.500], [0.913, 0.913, 0.000], [0.500, 0.500, 0.000]], "formation_energy_uncorrected_ev_per_atom": -0.217, "crystal_system": "tetragonal", "sg": "I4/mmm, No. 139"}

***

11.
{"formula": "LaTe3", "functional": "SCAN", "state": "PBEsol geometry", "lattice": [[2.692, 1.554, 4.711], [-2.692, 1.554, 4.711], [0.000, -3.109, 4.711]], "species": ["La", "Te", "Te", "Te"], "fractional_positions": [[0.000, 0.000, 0.000], [0.235, 0.235, 0.235], [0.500, 0.500, 0.500], [0.765, 0.765, 0.765]], "formation_energy_uncorrected_ev_per_atom": -0.689, "crystal_system": "trigonal", "sg": "R-3m, No. 166"}

***

12.
{"formula": "LaTe3", "functional": "SCAN", "state": "PBEsol geometry", "lattice": [[2.183, -13.124, 0.000], [2.183, 13.124, 0.000], [0.000, 0.000, 4.367]], "species": ["La", "La", "Te", "Te", "Te", "Te", "Te", "Te"], "fractional_positions": [[0.169, 0.831, 0.750], [0.831, 0.169, 0.250], [0.071, 0.929, 0.250], [0.296, 0.704, 0.750], [0.429, 0.571, 0.250], [0.571, 0.429, 0.750], [0.704, 0.296, 0.250], [0.929, 0.071, 0.750]], "formation_energy_uncorrected_ev_per_atom": -1.216, "crystal_system": "orthorhombic", "sg": "Cmcm, No. 63"}

***

Across the entries above, magnetization takes the values 0.00; 0.00; 0.00; 0.00; 2.56; 0.00; 0.00; 0.00; 0.00; 2.25; 0.00; 0.00 μB per cell, respectively.